1.
# LaCdCl | the Alexandria database | PBE-GGA | relaxed
# Formation energy (no corrections) (eV per atom): -0.8640
# Spin magnetization (μB/f.u.): 0.1
# E_tot (eV/atom): -3.43
data_LaCdCl
_chemical_formula_sum 'La1 Cd1 Cl1'
_cell_length_a 4.9702
_cell_length_b 4.9702
_cell_length_c 4.1420
_cell_angle_alpha 90.00
_cell_angle_beta 90.00
_cell_angle_gamma 120.00
_symmetry_space_group_name_H-M 'P -6 m 2'
_symmetry_Int_Tables_number 187
_symmetry_space_group_name_Hall 'P -6 2'
loop_
_atom_site_label
_atom_site_fract_x
_atom_site_fract_y
_atom_site_fract_z
_atom_site_occupancy
La1 0.0000 0.0000 0.0000 1
Cd1 0.3333 0.6667 0.5000 1
Cl1 0.6667 0.3333 0.0000 1

=====

2.
# La2Be2Tl | the Alexandria database | PBE-GGA | relaxed
# Spin magnetization (μB/f.u.): 0.0
# Formation energy (eV per atom): -0.01
# E_tot (eV/atom): -3.94
data_La2Be2Tl
_chemical_formula_sum 'La4 Be4 Tl2'
_cell_length_a 6.9972
_cell_length_b 6.9972
_cell_length_c 4.6875
_cell_angle_alpha 90.00
_cell_angle_beta 90.00
_cell_angle_gamma 90.00
_symmetry_space_group_name_H-M 'P 4/m b m'
_symmetry_Int_Tables_number 127
_symmetry_space_group_name_Hall '-P 4 2ab'
loop_
_atom_site_label
_atom_site_fract_x
_atom_site_fract_y
_atom_site_fract_z
_atom_site_occupancy
La1 0.1731 0.3269 0.0000 1
Be1 0.1142 0.6142 0.5000 1
Tl1 0.0000 0.0000 0.5000 1

=====

3.
# PmTh2Sn | the Alexandria database | PBE-GGA | relaxed
# Spin magnetization (μB/f.u.): 0.0
# Formation energy (eV per atom): -0.23
# E_tot (eV/atom): -6.13
data_PmTh2Sn
_chemical_formula_sum 'Pm1 Th2 Sn1'
_cell_length_a 4.2210
_cell_length_b 4.2210
_cell_length_c 6.9972
_cell_angle_alpha 90.00
_cell_angle_beta 90.00
_cell_angle_gamma 90.00
_symmetry_space_group_name_H-M 'P 4/m m m'
_symmetry_Int_Tables_number 123
_symmetry_space_group_name_Hall '-P 4 2'
loop_
_atom_site_label
_atom_site_fract_x
_atom_site_fract_y
_atom_site_fract_z
_atom_site_occupancy
Pm1 0.0000 0.0000 0.0000 1
Th1 0.5000 0.5000 0.2781 1
Sn1 0.0000 0.0000 0.5000 1

=====

4.
# RbCuPtCl6 | the Alexandria database | PBE-GGA | relaxed
# Formation energy (no corrections) (eV per atom): -0.7863
# Spin magnetization (μB/f.u.): 0.1
# E_tot (eV/atom): -3.25
data_RbCuPtCl6
_chemical_formula_sum 'Rb1 Cu1 Pt1 Cl6'
_cell_length_a 6.5122
_cell_length_b 6.5122
_cell_length_c 7.2413
_cell_angle_alpha 90.00
_cell_angle_beta 90.00
_cell_angle_gamma 120.00
_symmetry_space_group_name_H-M 'P 3 1 2'
_symmetry_Int_Tables_number 149
loop_
_symmetry_equiv_pos_as_xyz
'x,y,z'
'-y,x-y,z'
'-x+y,-x,z'
'-y,-x,-z'
'-x+y,y,-z'
'x,x-y,-z'
loop_
_atom_site_label
_atom_site_fract_x
_atom_site_fract_y
_atom_site_fract_z
_atom_site_occupancy
Rb1 0.0000 0.0000 0.0000 1
Cu1 0.3333 0.6667 0.5000 1
Pt1 0.6667 0.3333 0.5000 1
Cl1 0.3809 0.0196 0.6834 1

=====

5.
# Be2Ru | the Alexandria database | PBE-GGA | relaxed
# Spin magnetization (μB/f.u.): 0.0
# Formation energy (eV per atom): 0.40
# E_tot (eV/atom): -5.18
data_Be2Ru
_chemical_formula_sum 'Be8 Ru4'
_cell_length_a 5.2448
_cell_length_b 5.2448
_cell_length_c 5.2448
_cell_angle_alpha 90.00
_cell_angle_beta 90.00
_cell_angle_gamma 90.00
_symmetry_space_group_name_H-M 'F m -3 m'
_symmetry_Int_Tables_number 225
_symmetry_space_group_name_Hall '-F 4 2 3'
loop_
_atom_site_label
_atom_site_fract_x
_atom_site_fract_y
_atom_site_fract_z
_atom_site_occupancy
Be1 0.2500 0.2500 0.2500 1
Ru1 0.0000 0.0000 0.0000 1

=====

6.
# Co2TcSbAs | the Alexandria database | PBE-GGA | relaxed
# Formation energy (no corrections) (eV per atom): 1.1178
# Spin magnetization (μB/f.u.): 5.1
# E_tot (eV/atom): -5.55
data_Co2TcSbAs
_chemical_formula_sum 'Co2 Tc1 Sb1 As1'
_cell_length_a 4.2771
_cell_length_b 4.2771
_cell_length_c 5.3785
_cell_angle_alpha 90.00
_cell_angle_beta 90.00
_cell_angle_gamma 90.00
_symmetry_space_group_name_H-M 'P 4/m m m'
_symmetry_Int_Tables_number 123
_symmetry_space_group_name_Hall '-P 4 2'
loop_
_atom_site_label
_atom_site_fract_x
_atom_site_fract_y
_atom_site_fract_z
_atom_site_occupancy
Co1 0.0000 0.5000 0.0000 1
Tc1 0.0000 0.0000 0.5000 1
Sb1 0.5000 0.5000 0.5000 1
As1 0.5000 0.5000 0.0000 1

=====

7.
# Rb2TlGa4Sn3 | the Alexandria database | PBE-GGA | relaxed
# Spin magnetization (μB/f.u.): 0.0
# Formation energy (eV per atom): -0.14
# E_tot (eV/atom): -2.98
data_Rb2TlGa4Sn3
_chemical_formula_sum 'Rb2 Tl1 Ga4 Sn3'
_cell_length_a 5.0042
_cell_length_b 5.0042
_cell_length_c 11.5170
_cell_angle_alpha 90.00
_cell_angle_beta 90.00
_cell_angle_gamma 90.00
_symmetry_space_group_name_H-M 'P -4 m 2'
_symmetry_Int_Tables_number 115
loop_
_symmetry_equiv_pos_as_xyz
'x,y,z'
'y,-x,-z'
'-x,-y,z'
'-y,x,-z'
'-x,y,z'
'-y,-x,-z'
'x,-y,z'
'y,x,-z'
loop_
_atom_site_label
_atom_site_fract_x
_atom_site_fract_y
_atom_site_fract_z
_atom_site_occupancy
Rb1 0.0000 0.5000 0.2430 1
Tl1 0.0000 0.0000 0.5000 1
Ga1 0.0000 0.0000 0.0000 1
Ga2 0.0000 0.5000 0.6336 1
Ga3 0.5000 0.5000 0.0000 1
Sn1 0.0000 0.5000 0.8756 1
Sn2 0.5000 0.5000 0.5000 1

=====

8.
# LaTm2Ni | the Alexandria database | PBE-GGA | relaxed
# Spin magnetization (μB/f.u.): 0.0
# Formation energy (eV per atom): 0.02
# E_tot (eV/atom): -4.90
data_LaTm2Ni
_chemical_formula_sum 'La3 Tm6 Ni3'
_cell_length_a 3.5581
_cell_length_b 3.5581
_cell_length_c 31.3303
_cell_angle_alpha 90.00
_cell_angle_beta 90.00
_cell_angle_gamma 120.00
_symmetry_space_group_name_H-M 'R -3 m'
_symmetry_Int_Tables_number 166
_symmetry_space_group_name_Hall '-R 3 2"'
loop_
_atom_site_label
_atom_site_fract_x
_atom_site_fract_y
_atom_site_fract_z
_atom_site_occupancy
La1 0.0000 0.0000 0.0000 1
Tm1 0.0000 0.0000 0.1124 1
Ni1 0.0000 0.0000 0.5000 1

=====

9.
# Tb2Tm2Hg | the Alexandria database | PBE-GGA | relaxed
# Spin magnetization (μB/f.u.): 0.0
# Formation energy (eV per atom): -0.18
# E_tot (eV/atom): -3.88
data_Tb2Tm2Hg
_chemical_formula_sum 'Tb4 Tm4 Hg2'
_cell_length_a 3.5379
_cell_length_b 3.5379
_cell_length_c 23.0251
_cell_angle_alpha 90.00
_cell_angle_beta 90.00
_cell_angle_gamma 90.00
_symmetry_space_group_name_H-M 'I 4/m m m'
_symmetry_Int_Tables_number 139
_symmetry_space_group_name_Hall '-I 4 2'
loop_
_atom_site_label
_atom_site_fract_x
_atom_site_fract_y
_atom_site_fract_z
_atom_site_occupancy
Tb1 0.0000 0.0000 0.1953 1
Tm1 0.0000 0.0000 0.4135 1
Hg1 0.0000 0.0000 0.0000 1

=====

10.
# Li2Ac3Tm2Tl4 | the Alexandria database | PBE-GGA | relaxed
# Spin magnetization (μB/f.u.): 0.0
# Formation energy (eV per atom): -0.19
# E_tot (eV/atom): -3.33
data_Li2Ac3Tm2Tl4
_chemical_formula_sum 'Li2 Ac3 Tm2 Tl4'
_cell_length_a 5.1313
_cell_length_b 5.1313
_cell_length_c 15.4890
_cell_angle_alpha 90.00
_cell_angle_beta 90.00
_cell_angle_gamma 120.00
_symmetry_space_group_name_H-M 'P -3 m 1'
_symmetry_Int_Tables_number 164
_symmetry_space_group_name_Hall '-P 3 2"'
loop_
_atom_site_label
_atom_site_fract_x
_atom_site_fract_y
_atom_site_fract_z
_atom_site_occupancy
Li1 0.3333 0.6667 0.1321 1
Ac1 0.0000 0.0000 0.0000 1
Ac2 0.0000 0.0000 0.2550 1
Tm1 0.3333 0.6667 0.5701 1
Tl1 0.3333 0.6667 0.3690 1
Tl2 0.3333 0.6667 0.8735 1

=====

11.
# Na2SiAu4 | the Alexandria database | PBE-GGA | relaxed
# Formation energy (no corrections) (eV per atom): -0.0820
# Spin magnetization (μB/f.u.): 0.0
# E_tot (eV/atom): -3.11
data_Na2SiAu4
_chemical_formula_sum 'Na4 Si2 Au8'
_cell_length_a 4.7887
_cell_length_b 4.7887
_cell_length_c 15.3986
_cell_angle_alpha 90.00
_cell_angle_beta 90.00
_cell_angle_gamma 90.00
_symmetry_space_group_name_H-M 'I 4/m m m'
_symmetry_Int_Tables_number 139
_symmetry_space_group_name_Hall '-I 4 2'
loop_
_atom_site_label
_atom_site_fract_x
_atom_site_fract_y
_atom_site_fract_z
_atom_site_occupancy
Na1 0.0000 0.0000 0.1442 1
Si1 0.0000 0.0000 0.5000 1
Au1 0.0000 0.0000 0.3389 1
Au2 0.0000 0.5000 0.0000 1

=====

12.
# Li3DyNp3Se8 | the Alexandria database | PBE-GGA | relaxed
# Formation energy (no corrections) (eV per atom): -1.2986
# Spin magnetization (μB/f.u.): 11.0
# E_tot (eV/atom): -6.43
data_Li3DyNp3Se8
_chemical_formula_sum 'Li9 Dy3 Np9 Se24'
_cell_length_a 8.2138
_cell_length_b 8.2138
_cell_length_c 19.3486
_cell_angle_alpha 90.00
_cell_angle_beta 90.00
_cell_angle_gamma 120.00
_symmetry_space_group_name_H-M 'R -3 m'
_symmetry_Int_Tables_number 166
_symmetry_space_group_name_Hall '-R 3 2"'
loop_
_atom_site_label
_atom_site_fract_x
_atom_site_fract_y
_atom_site_fract_z
_atom_site_occupancy
Li1 0.0000 0.5000 0.0000 1
Dy1 0.0000 0.0000 0.5000 1
Np1 0.0000 0.5000 0.5000 1
Se1 0.0000 0.0000 0.2513 1
Se2 0.0004 0.5002 0.2498 1

=====

Number 1: D(E_F) 1.196 states/eV/atom. Number 2: D(E_F) 1.010 states/eV/atom. Number 3: D(E_F) 1.107 states/eV/atom. Number 4: D(E_F) 0.613 states/eV/atom. Number 5: D(E_F) 0.988 states/eV/atom. Number 6: D(E_F) 1.031 states/eV/atom. Number 7: D(E_F) 0.316 states/eV/atom. Number 8: D(E_F) 1.903 states/eV/atom. Number 9: D(E_F) 1.496 states/eV/atom. Number 10: D(E_F) 1.224 states/eV/atom. Number 11: D(E_F) 0.101 states/eV/atom. Number 12: D(E_F) 1.940 states/eV/atom.